Record 1
First-principles (GGA-PBEsol) data for HfSnH2 after structural relaxation, as listed in Alexandria.

Lattice parameters (Å, degrees): 4.1621 4.1621 12.1440 90.00 90.00 90.00
With the nearest neighbours (Å) after each atom.
Space group I-42d (No. 122)
Asymmetric unit:
1 Hf 0.0000 0.0000 0.0000 x4  4 H 1.88
2 Sn 0.0000 0.0000 0.5000 x4  4 H 2.49
3 H 0.0969 0.2500 0.1250 x8  2 Hf 1.88

Results
E_tot = -87.866 eV/cell
DOS at the Fermi energy = 0.15 states/eV per cell


Record 2
First-principles (GGA-PBEsol) data for Si3Tc after structural relaxation, as listed in Alexandria.

Lattice parameters (Å, degrees): 4.9389 7.0535 3.0070 90.00 90.00 90.00
With the nearest neighbours (Å) after each atom.
Space group Cmmm (No. 65)
Asymmetric unit:
1 Si 0.0000 0.0000 0.0000 x2  2 Tc 2.47, 8 Si 2.63
2 Si 0.2500 0.2500 0.5000 x4  6 Si 2.47-2.63, 4 Tc 2.63
3 Tc 0.0000 0.5000 0.0000 x2  10 Si 2.47-2.63

Results
E_tot = -57.627 eV/cell
DOS at the Fermi energy = 3.21 states/eV per cell
distance to the lowest polymorph of the same formula = 0.000 eV per atom


Question: What is the E_tot in the first record?
Answer: -87.866 eV/cell